No. 1
# MgIn2Re

MgIn2Re after structural relaxation (PBE, Alexandria via LeMat-Bulk).

## Properties
symmetry: Cm

a = 5.5312 Å, b = 5.5312 Å, c = 5.0675 Å
α = 82.49°, β = 82.49°, γ = 30.59°
Last column: nearest neighbours and their distance in Å.
Sites, in units of the cell vectors:
Re1 0.2408 0.2408 0.2432  7 In 2.90-3.10, 2 Mg 2.91, 2 Re 2.92
In1 0.7561 0.7561 0.7335  4 Re 2.90-2.95, 3 In 2.92-3.00, 1 Mg 2.93
In2 0.9826 0.9826 0.0268  4 Mg 2.87-3.04, 3 In 2.92-3.00, 3 Re 3.04-3.10
Mg1 0.5205 0.5205 0.4965  5 In 2.87-3.04, 2 Re 2.91, 2 Mg 2.92


No. 2
# MgIn2Re

MgIn2Re after structural relaxation (PBE, Alexandria via LeMat-Bulk).

## Properties
symmetry: P2/m

a = 4.9276 Å, b = 2.9196 Å, c = 5.4326 Å
α = 88.75°, β = 90.00°, γ = 90.00°
Last column: nearest neighbours and their distance in Å.
Sites, in units of the cell vectors:
In1 0.0000 0.5020 0.5069  2 Re 2.90, 6 In 2.92-3.18, 2 Mg 2.93
In2 0.0000 0.9980 0.9931  2 Re 2.90, 6 In 2.92-3.18, 2 Mg 2.93
Re1 0.5000 0.7500 0.7500  4 In 2.90, 2 Re 2.92, 4 Mg 3.06-3.11
Mg1 0.5000 0.2500 0.2500  2 Mg 2.92, 4 In 2.93, 4 Re 3.06-3.11


No. 3
# Mg2InRe

Mg2InRe after structural relaxation (PBE, Alexandria via LeMat-Bulk).

## Properties
symmetry: P4/mmm

a = 4.2291 Å, b = 4.1720 Å, c = 4.1720 Å
α = 90.00°, β = 90.00°, γ = 90.00°
Last column: nearest neighbours and their distance in Å.
Sites, in units of the cell vectors:
Mg1 0.0000 0.5000 0.5000  4 Mg 2.95, 4 Re 2.97, 4 In 2.97
Mg2 0.0000 0.0000 0.0000  4 Mg 2.95, 4 In 2.97, 4 Re 2.97
Re1 0.5000 0.5000 0.0000  4 In 2.95, 8 Mg 2.97
In1 0.5000 0.0000 0.5000  4 Re 2.95, 8 Mg 2.97


No. 4
# Mg2InRe

Mg2InRe after structural relaxation (PBE, Alexandria via LeMat-Bulk).

## Properties
symmetry: Cmmm

a = 5.2835 Å, b = 5.2835 Å, c = 2.8762 Å
α = 90.00°, β = 90.00°, γ = 113.76°
Last column: nearest neighbours and their distance in Å.
Sites, in units of the cell vectors:
In1 0.0000 0.5000 0.5000  2 In 2.88, 2 Re 2.89, 8 Mg 3.01
Re1 0.5000 0.0000 0.5000  2 Re 2.88, 2 In 2.89, 8 Mg 3.01
Mg1 0.0000 0.0000 0.0000  4 Mg 2.88-2.89, 4 In 3.01, 4 Re 3.01
Mg2 0.5000 0.5000 0.0000  4 Mg 2.88-2.89, 4 Re 3.01, 4 In 3.01


No. 5
# Mg2InRe

Mg2InRe after structural relaxation (PBE, Alexandria via LeMat-Bulk).

## Properties
symmetry: Cmmm

a = 2.8812 Å, b = 2.8812 Å, c = 9.4468 Å
α = 90.00°, β = 90.00°, γ = 104.35°
Last column: nearest neighbours and their distance in Å.
Sites, in units of the cell vectors:
Mg1 0.0000 0.0000 0.0262  2 Re 2.76, 4 Mg 2.88
Mg2 0.0000 0.0000 0.4738  2 Re 2.76, 4 Mg 2.88
In1 0.5000 0.5000 0.7500  4 In 2.88, 4 Mg 3.15
Re1 0.5000 0.5000 0.2500  4 Mg 2.76, 4 Re 2.88


No. 6
# MgIn4Re

MgIn4Re after structural relaxation (PBE, Alexandria via LeMat-Bulk).

## Properties
symmetry: F-43m

a = 5.7147 Å, b = 5.7147 Å, c = 5.7147 Å
α = 60.00°, β = 60.00°, γ = 60.00°
Last column: nearest neighbours and their distance in Å.
Sites, in units of the cell vectors:
In1 0.8765 0.3745 0.3745  6 In 2.85-2.87
In2 0.3745 0.3745 0.8765  6 In 2.85-2.87
In3 0.3745 0.3745 0.3745  6 In 2.85-2.87
In4 0.3745 0.8765 0.3745  6 In 2.85-2.87
Re1 0.0000 0.0000 0.0000  12 In 3.35, 4 Mg 3.50
Mg1 0.7500 0.7500 0.7500  12 In 3.35, 4 Re 3.50


No. 7
# MgIn2Re

MgIn2Re after structural relaxation (PBE, Alexandria via LeMat-Bulk).

## Properties
symmetry: P4/mmm

a = 4.5209 Å, b = 4.5209 Å, c = 3.7228 Å
α = 90.00°, β = 90.00°, γ = 90.00°
Last column: nearest neighbours and their distance in Å.
Sites, in units of the cell vectors:
Re1 0.0000 0.5000 0.5000  8 In 2.93, 4 Mg 3.20
In1 0.0000 0.0000 0.0000  4 Re 2.93, 4 Mg 2.93, 4 In 3.20
In2 0.5000 0.5000 0.0000  4 Re 2.93, 4 Mg 2.93, 4 In 3.20
Mg1 0.5000 0.0000 0.5000  8 In 2.93, 4 Re 3.20


No. 8
# MgIn2Re

MgIn2Re after structural relaxation (PBE, Alexandria via LeMat-Bulk).

## Properties
symmetry: Cmmm

a = 5.2352 Å, b = 5.2352 Å, c = 2.9692 Å
α = 90.00°, β = 90.00°, γ = 110.81°
Last column: nearest neighbours and their distance in Å.
Sites, in units of the cell vectors:
In1 0.5000 0.5000 0.0000  4 In 2.97, 4 Mg 3.01, 4 Re 3.01
In2 0.0000 0.0000 0.0000  4 In 2.97, 4 Re 3.01, 4 Mg 3.01
Re1 0.0000 0.5000 0.5000  2 Re 2.97, 2 Mg 2.97, 8 In 3.01
Mg1 0.5000 0.0000 0.5000  2 Mg 2.97, 2 Re 2.97, 8 In 3.01


No. 9
# Mg2InRe

Mg2InRe after structural relaxation (PBE, Alexandria via LeMat-Bulk).

## Properties
symmetry: I-4m2

a = 5.2608 Å, b = 5.2608 Å, c = 5.2608 Å
α = 135.06°, β = 135.06°, γ = 65.44°
Last column: nearest neighbours and their distance in Å.
Sites, in units of the cell vectors:
Mg1 0.2500 0.7500 0.5000  4 In 2.84, 4 Mg 2.99, 4 Re 2.99
Mg2 0.0000 0.0000 0.0000  4 Re 2.84, 4 In 2.99, 4 Mg 2.99
In1 0.7500 0.2500 0.5000  8 Mg 2.84-2.99, 4 Re 2.99
Re1 0.5000 0.5000 0.0000  8 Mg 2.84-2.99, 4 In 2.99


No. 10
# Mg2InRe

Mg2InRe after structural relaxation (PBE, Alexandria via LeMat-Bulk).

## Properties
symmetry: R-3m

a = 9.6893 Å, b = 9.6893 Å, c = 9.6893 Å
α = 17.94°, β = 17.94°, γ = 17.94°
Last column: nearest neighbours and their distance in Å.
Sites, in units of the cell vectors:
Mg1 0.5048 0.5048 0.5048  3 Re 2.84, 6 Mg 3.02, 3 In 3.06
Mg2 0.9952 0.9952 0.9952  3 Re 2.84, 6 Mg 3.02, 3 In 3.06
Re1 0.2500 0.2500 0.2500  6 Mg 2.84, 6 Re 3.02
In1 0.7500 0.7500 0.7500  6 In 3.02, 6 Mg 3.06


No. 11
# MgIn2Re

MgIn2Re after structural relaxation (PBE, Alexandria via LeMat-Bulk).

## Properties
symmetry: R-3m

a = 9.4690 Å, b = 9.4690 Å, c = 9.4690 Å
α = 19.16°, β = 19.16°, γ = 19.16°
Last column: nearest neighbours and their distance in Å.
Sites, in units of the cell vectors:
In1 0.0051 0.0051 0.0051  3 Re 2.84, 3 Mg 3.06, 6 In 3.15
In2 0.4949 0.4949 0.4949  3 Re 2.84, 3 Mg 3.06, 6 In 3.15
Mg1 0.2500 0.2500 0.2500  6 In 3.06, 6 Mg 3.15
Re1 0.7500 0.7500 0.7500  6 In 2.84, 6 Re 3.15


No. 12
# Mg2InRe

Mg2InRe after structural relaxation (PBE, Alexandria via LeMat-Bulk).

## Properties
symmetry: Cm

a = 5.1414 Å, b = 5.1414 Å, c = 5.3055 Å
α = 84.42°, β = 84.42°, γ = 32.01°
Last column: nearest neighbours and their distance in Å.
Sites, in units of the cell vectors:
In1 0.7573 0.7573 0.7397  2 In 2.84, 7 Mg 2.91-3.12, 3 Re 2.98
Re1 0.5003 0.5003 0.4921  2 Re 2.84, 7 Mg 2.92-3.06, 3 In 2.98
Mg1 0.2404 0.2404 0.2654  5 Mg 2.84-3.15, 4 In 2.91-3.12, 3 Re 2.92-2.94
Mg2 0.0021 0.0021 0.0028  5 Mg 2.84-3.15, 3 In 2.91-3.10, 4 Re 2.96-3.06


It is found that the V values, taken in the order of the records, are 19.54, 19.53, 18.40, 18.37, 18.99, 21.99, 19.02, 19.02, 17.89, 18.83, 19.98, 18.49 A^3/atom.
It is found that the total energy values, taken in the order of the records, are -4.503, -4.450, -4.239, -4.280, -4.309, -3.407, -4.413, -4.420, -4.338, -4.267, -4.477, -4.312 eV/atom.